Arrangement w

A plane-wave DFT calculation with PBE was carried out for a relaxed AcPmDy6 crystal.

Summary:
* crystal system: tetragonal

a b c (Å): 5.105 5.105 10.215
angles (deg): 90.00 90.00 90.00
Space group P4/mmm (No. 123)
Unique sites:
Ac 0.000 0.000 0.000
Pm 0.000 0.000 0.500
Dy 0.000 0.500 0.256
Dy 0.500 0.500 0.000
Dy 0.500 0.500 0.500

---

Arrangement x

A plane-wave DFT calculation with PBE was carried out for a relaxed AcPmDy6 crystal.

Summary:
* crystal system: monoclinic

a b c (Å): 9.718 6.997 8.925
angles (deg): 90.00 102.82 90.00
Space group C2/m (No. 12)
Unique sites:
Ac 0.000 0.000 0.000
Pm 0.000 0.500 0.500
Dy 0.122 0.500 0.919
Dy 0.218 0.261 0.299

---

Which is the most stable structure? arrangement w is the most stable.

---

Arrangement w

A plane-wave DFT calculation with PBE was carried out for a relaxed AcPm8Dy6 crystal.

Summary:
* crystal system: trigonal

a b c (Å): 9.8136 9.8136 18.3555
angles (deg): 90.00 90.00 120.00
Space group R-3 (No. 148, hexagonal axes)
Unique sites:
Ac 0.0000 0.0000 0.0000
Pm 0.0000 0.0000 0.2374
Pm 0.0437 0.7557 0.8996
Dy 0.0239 0.7896 0.4068

---

Arrangement x

A plane-wave DFT calculation with PBE was carried out for a relaxed AcPm8Dy6 crystal.

Summary:
* crystal system: trigonal

a b c (Å): 9.3560 9.3560 20.4163
angles (deg): 90.00 90.00 120.00
Space group R-3 (No. 148, hexagonal axes)
Unique sites:
Ac 0.0000 0.0000 0.0000
Pm 0.0000 0.0000 0.4278
Pm 0.0636 0.2453 0.1615
Dy 0.0388 0.2393 0.6931

---

Which is the most stable structure? arrangement x is the most stable.

---

Arrangement w

A plane-wave DFT calculation with PBE was carried out for a relaxed Ac2Pm2Dy crystal.

Summary:
* crystal system: tetragonal

a b c (Å): 4.938 4.938 16.689
angles (deg): 90.00 90.00 90.00
Space group I4/mmm (No. 139)
Unique sites:
Ac 0.000 0.500 0.250
Pm 0.000 0.000 0.091
Dy 0.000 0.000 0.500

---

Arrangement x

A plane-wave DFT calculation with PBE was carried out for a relaxed Ac2Pm2Dy crystal.

Summary:
* crystal system: monoclinic

a b c (Å): 11.299 7.091 11.095
angles (deg): 90.00 119.38 90.00
Space group C2/c (No. 15)
Unique sites:
Ac 0.197 0.002 0.348
Pm 0.002 0.228 0.000
Dy 0.000 0.500 0.250

---

Which is the most stable structure? arrangement x is the most stable.

---

Arrangement w

A plane-wave DFT calculation with PBE was carried out for a relaxed AcPm6Dy3 crystal.

Summary:
* crystal system: monoclinic

a b c (Å): 13.350 3.595 15.423
angles (deg): 90.00 109.14 90.00
Space group P2_1/m (No. 11)
Unique sites:
Ac 0.212 0.250 0.089
Pm 0.042 0.750 0.878
Pm 0.125 0.250 0.487
Pm 0.173 0.750 0.294
Pm 0.282 0.250 0.893
Pm 0.380 0.750 0.496
Pm 0.466 0.750 0.104
Dy 0.080 0.250 0.693
Dy 0.315 0.750 0.701
Dy 0.414 0.250 0.304

---

Arrangement x

A plane-wave DFT calculation with PBE was carried out for a relaxed AcPm6Dy3 crystal.

Summary:
* crystal system: orthorhombic

a b c (Å): 9.923 15.183 9.258
angles (deg): 90.00 90.00 90.00
Space group Cmc2_1 (No. 36)
Unique sites:
Ac 0.000 0.197 0.000
Pm 0.000 0.265 0.377
Pm 0.000 0.437 0.124
Pm 0.177 0.352 0.771
Pm 0.178 0.135 0.604
Dy 0.000 0.038 0.288
Dy 0.209 0.436 0.432

---

Which is the most stable structure? arrangement w is the most stable.

---

Arrangement w

A plane-wave DFT calculation with PBE was carried out for a relaxed AcPm4Dy crystal.

Summary:
* crystal system: cubic

a b c (Å): 9.557 9.557 9.557
angles (deg): 90.00 90.00 90.00
Space group F-43m (No. 216)
Unique sites:
Ac 0.000 0.000 0.000
Pm 0.124 0.124 0.376
Dy 0.250 0.250 0.750

---

Arrangement x

A plane-wave DFT calculation with PBE was carried out for a relaxed AcPm4Dy crystal.

Summary:
* crystal system: orthorhombic

a b c (Å): 3.716 5.154 11.124
angles (deg): 90.00 90.00 90.00
Space group Pmmm (No. 47)
Unique sites:
Ac 0.000 0.000 0.000
Pm 0.000 0.000 0.339
Pm 0.500 0.500 0.177
Dy 0.500 0.500 0.500

---

Which is the most stable structure? arrangement x is the most stable.

---

Arrangement w

A plane-wave DFT calculation with PBE was carried out for a relaxed AcPm3Dy2 crystal.

Summary:
* crystal system: orthorhombic

a b c (Å): 11.188 11.010 6.818
angles (deg): 90.00 90.00 90.00
Space group Cmcm (No. 63)
Unique sites:
Ac 0.000 0.105 0.250
Pm 0.000 0.411 0.250
Pm 0.243 0.500 0.000
Dy 0.157 0.250 0.750

---

Arrangement x

A plane-wave DFT calculation with PBE was carried out for a relaxed AcPm3Dy2 crystal.

Summary:
* crystal system: monoclinic

a b c (Å): 10.350 7.370 12.165
angles (deg): 90.00 115.15 90.00
Space group C2/c (No. 15)
Unique sites:
Ac 0.000 0.124 0.250
Pm 0.000 0.376 0.750
Pm 0.165 0.375 0.081
Dy 0.166 0.125 0.582

---

Which is the most stable structure? arrangement x is the most stable.

---

Arrangement w

A plane-wave DFT calculation with PBE was carried out for a relaxed AcPm8Dy2 crystal.

Summary:
* crystal system: monoclinic

a b c (Å): 16.764 6.860 6.847
angles (deg): 90.00 98.71 90.00
Space group C2/m (No. 12)
Unique sites:
Ac 0.000 0.000 0.000
Pm 0.092 0.269 0.424
Pm 0.092 0.500 0.917
Pm 0.238 0.000 0.291
Dy 0.212 0.000 0.788

---

Arrangement x

A plane-wave DFT calculation with PBE was carried out for a relaxed AcPm8Dy2 crystal.

Summary:
* crystal system: orthorhombic

a b c (Å): 5.627 8.518 16.181
angles (deg): 90.00 90.00 90.00
Space group Immm (No. 71)
Unique sites:
Ac 0.000 0.000 0.000
Pm 0.000 0.202 0.500
Pm 0.000 0.298 0.145
Pm 0.000 0.500 0.339
Dy 0.000 0.000 0.300

---

Which is the most stable structure? arrangement x is the most stable.

---

Arrangement w

A plane-wave DFT calculation with PBE was carried out for a relaxed AcPmPrDy crystal.

Summary:
* crystal system: tetragonal

a b c (Å): 5.267 5.267 10.574
angles (deg): 90.00 90.00 90.00
Space group I-4m2 (No. 119)
Unique sites:
Ac 0.000 0.000 0.000
Pm 0.000 0.500 0.750
Pr 0.000 0.500 0.250
Dy 0.000 0.000 0.500

---

Arrangement x

A plane-wave DFT calculation with PBE was carried out for a relaxed AcPmPrDy crystal.

Summary:
* crystal system: cubic

a b c (Å): 8.371 8.371 8.371
angles (deg): 90.00 90.00 90.00
Space group F-43m (No. 216)
Unique sites:
Ac 0.000 0.000 0.000
Pm 0.250 0.250 0.750
Pr 0.000 0.000 0.500
Dy 0.250 0.250 0.250

---

Which is the most stable structure? arrangement w is the most stable.

---

Arrangement w

A plane-wave DFT calculation with PBE was carried out for a relaxed AcPmSmDy crystal.

Summary:
* crystal system: cubic

a b c (Å): 8.327 8.327 8.327
angles (deg): 90.00 90.00 90.00
Space group F-43m (No. 216)
Unique sites:
Ac 0.000 0.000 0.000
Pm 0.000 0.000 0.500
Sm 0.250 0.250 0.250
Dy 0.250 0.250 0.750

---

Arrangement x

A plane-wave DFT calculation with PBE was carried out for a relaxed AcPmSmDy crystal.

Summary:
* crystal system: orthorhombic

a b c (Å): 3.544 5.818 7.056
angles (deg): 90.00 90.00 90.00
Space group Pmm2 (No. 25)
Unique sites:
Ac 0.000 0.000 0.000
Pm 0.500 0.500 0.741
Sm 0.000 0.500 0.279
Dy 0.000 0.000 0.512

---

Which is the most stable structure? arrangement w is the most stable.

---

Arrangement w

A plane-wave DFT calculation with PBE was carried out for a relaxed AcPmDyTh crystal.

Summary:
* crystal system: cubic

a b c (Å): 8.272 8.272 8.272
angles (deg): 90.00 90.00 90.00
Space group F-43m (No. 216)
Unique sites:
Ac 0.000 0.000 0.000
Pm 0.250 0.250 0.250
Dy 0.250 0.250 0.750
Th 0.000 0.000 0.500

---

Arrangement x

A plane-wave DFT calculation with PBE was carried out for a relaxed AcPmDyTh crystal.

Summary:
* crystal system: tetragonal

a b c (Å): 3.694 3.694 10.428
angles (deg): 90.00 90.00 90.00
Space group P4mm (No. 99)
Unique sites:
Ac 0.000 0.000 0.000
Pm 0.500 0.500 0.724
Dy 0.500 0.500 0.267
Th 0.000 0.000 0.492

---

Which is the most stable structure? arrangement x is the most stable.

---

Arrangement w

A plane-wave DFT calculation with PBE was carried out for a relaxed AcPmDyY crystal.

Summary:
* crystal system: cubic

a b c (Å): 8.307 8.307 8.307
angles (deg): 90.00 90.00 90.00
Space group F-43m (No. 216)
Unique sites:
Ac 0.000 0.000 0.000
Pm 0.000 0.000 0.500
Dy 0.250 0.250 0.250
Y 0.250 0.250 0.750

---

Arrangement x

A plane-wave DFT calculation with PBE was carried out for a relaxed AcPmDyY crystal.

Summary:
* crystal system: orthorhombic

a b c (Å): 3.539 5.787 7.044
angles (deg): 90.00 90.00 90.00
Space group Pmm2 (No. 25)
Unique sites:
Ac 0.000 0.000 0.000
Pm 0.500 0.500 0.263
Dy 0.000 0.000 0.487
Y 0.000 0.500 0.728

---

Which is the most stable structure? arrangement w is the most stable.

---

Arrangement w

A plane-wave DFT calculation with PBE was carried out for a relaxed AcPmDyZn crystal.

Summary:
* crystal system: cubic

a b c (Å): 7.879 7.879 7.879
angles (deg): 90.00 90.00 90.00
Space group F-43m (No. 216)
Unique sites:
Ac 0.000 0.000 0.000
Pm 0.250 0.250 0.250
Dy 0.250 0.250 0.750
Zn 0.000 0.000 0.500

---

Arrangement x

A plane-wave DFT calculation with PBE was carried out for a relaxed AcPmDyZn crystal.

Summary:
* crystal system: tetragonal

a b c (Å): 3.704 3.704 8.996
angles (deg): 90.00 90.00 90.00
Space group P4mm (No. 99)
Unique sites:
Ac 0.000 0.000 0.000
Pm 0.500 0.500 0.311
Dy 0.500 0.500 0.699
Zn 0.000 0.000 0.516

---

Which is the most stable structure? arrangement x is the most stable.